ScB2Os2 | GGA-PBE | optimized geometry

## Properties
DOS(E_F) ... 0.790 states/eV/atom
Space-group type ... I4/mmm (139)

Unit cell a=3.902 b=3.902 c=5.121 alpha=67.61 beta=67.61 gamma=90.00
Sites, in units of the cell vectors:
B1 0.750 0.250 0.500
Os1 0.640 0.640 0.720
Sc1 0.000 0.000 0.000
B2 0.250 0.750 0.500
Os2 0.360 0.360 0.280

***

ScB2Os2 | GGA-PBE | optimized geometry

## Properties
DOS(E_F) ... 0.331 states/eV/atom
Space-group type ... P4/mbm (127)

Unit cell a=6.399 b=6.399 c=2.856 alpha=90.00 beta=90.00 gamma=90.00
Sites, in units of the cell vectors:
Os1 0.151 0.651 0.500
B1 0.633 0.133 0.000
B2 0.133 0.367 0.000
Os2 0.849 0.349 0.500
Sc1 0.500 0.500 0.000
Sc2 0.000 0.000 0.000
B3 0.367 0.867 0.000
B4 0.867 0.633 0.000
Os3 0.349 0.151 0.500
Os4 0.651 0.849 0.500

***

ScBOs | GGA-PBE | optimized geometry

## Properties
DOS(E_F) ... 0.540 states/eV/atom
Space-group type ... Immm (71)
Excess energy over the best structure of this formula in the dataset ... 0 meV/atom

Unit cell a=3.147 b=5.346 c=5.754 alpha=117.68 beta=105.87 gamma=90.00
Sites, in units of the cell vectors:
Os1 0.000 0.254 0.000
Sc1 0.706 0.706 0.411
Os2 0.000 0.746 0.000
B1 0.407 0.907 0.814
B2 0.593 0.093 0.186
Sc2 0.294 0.294 0.589

***

Sc3B7Os | GGA-PBE | optimized geometry

## Properties
DOS(E_F) ... 0.193 states/eV/atom
Space-group type ... Cmcm (63)

Unit cell a=3.374 b=7.635 c=8.996 alpha=90.00 beta=90.00 gamma=102.77
Sites, in units of the cell vectors:
Sc1 0.247 0.494 0.750
Sc2 0.753 0.506 0.250
B1 0.517 0.034 0.593
Sc3 0.893 0.786 0.943
B2 0.634 0.267 0.650
B3 0.483 0.966 0.407
Sc4 0.107 0.214 0.057
B4 0.272 0.544 0.467
Os1 0.051 0.102 0.750
B5 0.634 0.267 0.850
Sc5 0.107 0.214 0.443
B6 0.728 0.456 0.967
Sc6 0.893 0.786 0.557
B7 0.366 0.733 0.150
B8 0.555 0.109 0.250
B9 0.445 0.891 0.750
Os2 0.949 0.898 0.250
B10 0.517 0.034 0.907
B11 0.366 0.733 0.350
B12 0.728 0.456 0.533
B13 0.483 0.966 0.093
B14 0.272 0.544 0.033

***

ScB2Os | GGA-PBE | optimized geometry

## Properties
DOS(E_F) ... 0.649 states/eV/atom
Space-group type ... Amm2 (38)
Excess energy over the best structure of this formula in the dataset ... 337 meV/atom

Unit cell a=3.071 b=4.081 c=4.081 alpha=104.04 beta=90.00 gamma=90.00
Sites, in units of the cell vectors:
Os1 0.500 0.391 0.609
B1 0.500 0.526 0.133
B2 0.500 0.867 0.474
Sc1 0.000 0.995 0.005

***

ScBOs | GGA-PBE | optimized geometry

## Properties
DOS(E_F) ... 0.838 states/eV/atom
Space-group type ... Fmmm (69)
Excess energy over the best structure of this formula in the dataset ... 148 meV/atom

Unit cell a=4.276 b=5.439 c=4.276 alpha=71.28 beta=79.43 gamma=108.72
Sites, in units of the cell vectors:
Sc1 0.449 0.500 0.551
Sc2 0.949 0.500 0.051
B1 0.786 0.000 0.214
B2 0.113 0.000 0.887
Os1 0.243 0.000 0.345
Os2 0.655 0.000 0.757

***

ScB3Os | GGA-PBE | optimized geometry

## Properties
DOS(E_F) ... 0.691 states/eV/atom
Space-group type ... Pm-3m (221)
Excess energy over the best structure of this formula in the dataset ... 2084 meV/atom

Unit cell a=3.953 b=3.953 c=3.953 alpha=90.00 beta=90.00 gamma=90.00
Sites, in units of the cell vectors:
B1 0.500 0.000 0.000
B2 0.000 0.500 0.000
Sc1 0.000 0.000 0.000
B3 0.000 0.000 0.500
Os1 0.500 0.500 0.500

***

ScB3Os | GGA-PBE | optimized geometry

## Properties
DOS(E_F) ... 0.561 states/eV/atom
Space-group type ... Pm-3m (221)
Excess energy over the best structure of this formula in the dataset ... 0 meV/atom

Unit cell a=4.041 b=4.041 c=4.041 alpha=90.00 beta=90.00 gamma=90.00
Sites, in units of the cell vectors:
B1 0.500 0.000 0.000
Os1 0.000 0.000 0.000
B2 0.000 0.000 0.500
B3 0.000 0.500 0.000
Sc1 0.500 0.500 0.500

***

Number 1: formation energy from the elements -106 meV/atom. Number 2: formation energy from the elements -195 meV/atom. Number 3: formation energy from the elements -428 meV/atom. Number 4: formation energy from the elements -757 meV/atom. Number 5: formation energy from the elements -344 meV/atom. Number 6: formation energy from the elements -280 meV/atom. Number 7: formation energy from the elements 2416 meV/atom. Number 8: formation energy from the elements 332 meV/atom.